Computed, not measured: a relaxed structure of Na2CrSiCO7 at the PBE+U level of DFT.

```
Na2CrSiCO7
1.0
5.2628 0.0000 0.0000
0.0000 6.4476 0.0000
-0.2912 0.0000 9.0567
Na Cr Si C O
4 2 2 2 14
Direct
0.2446 0.0103 0.2664 Na
0.2446 0.4897 0.2664 Na
0.7554 0.5103 0.7336 Na
0.7554 0.9897 0.7336 Na
0.1981 0.2500 0.8499 Cr
0.8019 0.7500 0.1501 Cr
0.2954 0.7500 0.9290 Si
0.7046 0.2500 0.0710 Si
0.2722 0.2500 0.5818 C
0.7278 0.7500 0.4182 C
0.0460 0.2500 0.6397 O
0.1379 0.7500 0.0834 O
0.2123 0.5435 0.8322 O
0.2123 0.9565 0.8322 O
0.3105 0.2500 0.4464 O
0.3953 0.2500 0.0399 O
0.4573 0.2500 0.6846 O
0.5427 0.7500 0.3154 O
0.6047 0.7500 0.9601 O
0.6895 0.7500 0.5536 O
0.7877 0.0435 0.1678 O
0.7877 0.4565 0.1678 O
0.8621 0.2500 0.9166 O
0.9540 0.7500 0.3603 O
```

Calculated volume: 12.80 A^3/atom
Calculated total energy: -0.50614 Ry/atom
SG: P2_1/m